# 1
Below is crystalline Cs2Pu2NiSe6 at its relaxed geometry, with properties calculated at the PBE-GGA level.

Results
The calculation puts the density of states at the Fermi level at 1.55 states/eV per atom. The total magnetization comes out at 8.0 μB/f.u. The calculation puts the uncorrected formation energy at -1031 meV/atom. The space group is C2/m (12).

Cell: 6.822 6.822 8.661 Å, 98.21 98.21 113.03°
Site moments in Bohr magnetons follow the coordinates.
Atoms (fractional coordinates):
Se (0.323, 0.323, 0.277)  -0.22
Se (0.347, 0.060, 0.662)  -0.14
Se (0.653, 0.940, 0.338)  -0.14
Se (0.940, 0.653, 0.338)  -0.14
Se (0.677, 0.677, 0.723)  -0.22
Se (0.060, 0.347, 0.662)  -0.14
Cs (0.192, 0.808, 0.000)  -0.01
Cs (0.808, 0.192, 0.000)  -0.01
Pu (0.668, 0.332, 0.500)  4.77
Pu (0.332, 0.668, 0.500)  4.77
Ni (0.000, 0.000, 0.500)  -0.24

---

# 2
Below is crystalline Cs2RbNi at its relaxed geometry, with properties calculated at the PBE-GGA level.

Results
The calculation puts the density of states at the Fermi level at 0.93 states/eV per atom. The formation energy comes out at 234.8 kJ/mol of formula units. The total magnetization comes out at 0.0 μB/f.u. The space group is I-42d (122).

Cell: 9.671 9.671 9.685 Å, 60.05 60.05 90.00°
Atoms (fractional coordinates):
Ni (0.500, 0.500, 0.000)
Ni (0.250, 0.750, 0.500)
Cs (0.362, 0.625, 0.250)
Cs (0.388, 0.125, 0.250)
Cs (0.875, 0.638, 0.750)
Cs (0.375, 0.612, 0.750)
Rb (0.750, 0.250, 0.500)
Rb (0.000, 0.000, 0.000)

---

# 3
Below is crystalline CsRbNi3 at its relaxed geometry, with properties calculated at the PBE-GGA level.

Results
The calculation puts the density of states at the Fermi level at 0.94 states/eV per atom. The formation energy comes out at 900.6 kJ/mol of formula units. The total magnetization comes out at 0.0 μB/f.u. The energy above the most stable polymorph in this dataset comes out at 12.59 kJ per mole of atoms. The space group is Pm-3m (221).

Cell: 5.238 5.238 5.238 Å, 90.00 90.00 90.00°
Atoms (fractional coordinates):
Rb (0.000, 0.000, 0.000)
Ni (0.000, 0.500, 0.000)
Ni (0.000, 0.000, 0.500)
Ni (0.500, 0.000, 0.000)
Cs (0.500, 0.500, 0.500)